1.
PBE BPRhCS, relaxed; final energy = -6.69 eV per atom; formation energy from raw total energies = -0.14 eV/atom; N(E_F) = 0.496 states/eV per atom; size of the total moment = 0.00 μB/cell
1.0
2.8576 0.0000 0.0000
0.0000 2.9464 0.0000
0.0000 0.0000 7.3071
B P Rh C S
1 1 1 1 1
Direct
0.0000 0.0000 0.0000
0.5000 0.5000 0.7241
0.0000 0.5000 0.4929
0.5000 0.0000 0.8794
0.0000 0.5000 0.1654


2.
PBE LiMg2TlCd, relaxed; final energy = -1.75 eV per atom; N(E_F) = 0.379 states/eV per atom; size of the total moment = 0.00 μB/cell; formation enthalpy at 0 K = -76 meV/atom
1.0
7.3040 -2.3357 0.0000
7.3040 2.3357 0.0000
-2.9495 0.0000 6.6113
Li Mg Tl Cd
2 4 2 2
Direct
0.0372 0.0372 0.2083
0.9628 0.9628 0.7917
0.2232 0.2232 0.1246
0.3280 0.3280 0.6055
0.6720 0.6720 0.3945
0.7768 0.7768 0.8754
0.1201 0.1201 0.6460
0.8799 0.8799 0.3540
0.4152 0.4152 0.0583
0.5848 0.5848 0.9417


3.
PBE BaCa10Mg2, relaxed; final energy = -1.91 eV per atom; N(E_F) = 1.079 states/eV per atom; size of the total moment = 0.00 μB/cell; formation enthalpy at 0 K = 26 meV/atom
1.0
0.0000 8.6581 8.8813
3.5202 0.0000 8.8813
3.5202 8.6581 0.0000
Ba Ca Mg
1 10 2
Direct
0.0000 0.0000 0.0000
0.0000 0.0000 0.5000
0.0125 0.3506 0.6494
0.2813 0.4894 0.5106
0.3506 0.0125 0.9875
0.4894 0.2813 0.7187
0.5000 0.5000 0.0000
0.5106 0.7187 0.2813
0.6494 0.9875 0.0125
0.7187 0.5106 0.4894
0.9875 0.6494 0.3506
0.0000 0.5000 0.0000
0.5000 0.0000 0.5000


4.
PBE Th6PtC4, relaxed; final energy = -8.42 eV per atom; N(E_F) = 0.813 states/eV per atom; size of the total moment = 0.00 μB/cell; formation enthalpy at 0 K = -470 meV/atom
1.0
1.9033 -6.2603 0.0000
1.9033 6.2603 0.0000
0.0000 0.0000 19.7270
Th Pt C
12 2 8
Direct
0.0000 0.0000 0.0000
0.0000 0.0000 0.5000
0.1547 0.8453 0.7500
0.2772 0.7228 0.0791
0.2772 0.7228 0.4209
0.4536 0.5464 0.6533
0.4536 0.5464 0.8467
0.5464 0.4536 0.1533
0.5464 0.4536 0.3467
0.7228 0.2772 0.5791
0.7228 0.2772 0.9209
0.8453 0.1547 0.2500
0.1678 0.8322 0.2500
0.8322 0.1678 0.7500
0.0848 0.9152 0.6257
0.0848 0.9152 0.8743
0.3581 0.6419 0.5399
0.3581 0.6419 0.9601
0.6419 0.3581 0.0399
0.6419 0.3581 0.4601
0.9152 0.0848 0.1257
0.9152 0.0848 0.3743


5.
PBE Ag3Hg5, relaxed; final energy = -1.15 eV per atom; N(E_F) = 0.191 states/eV per atom; size of the total moment = 0.00 μB/cell; formation enthalpy at 0 K = 109 meV/atom
1.0
8.3166 0.0000 0.0000
-4.1583 7.2024 0.0000
0.0000 0.0000 5.9831
Ag Hg
6 10
Direct
0.0000 0.4061 0.2500
0.0000 0.5939 0.7500
0.4061 0.0000 0.2500
0.4061 0.4061 0.7500
0.5939 0.0000 0.7500
0.5939 0.5939 0.2500
0.0000 0.2237 0.7500
0.0000 0.7763 0.2500
0.2237 0.0000 0.7500
0.2237 0.2237 0.2500
0.3333 0.6667 0.0000
0.3333 0.6667 0.5000
0.6667 0.3333 0.0000
0.6667 0.3333 0.5000
0.7763 0.0000 0.2500
0.7763 0.7763 0.7500